No. 1
Material: BaBe2Ir
Method: DFT, PBE-GGA
State: optimized geometry

It has space group F-43m (No. 216), with a = 6.7607 Å, b = 6.7607 Å, c = 6.7607 Å, α = 90.00°, β = 90.00° and γ = 90.00°. The distinct sites, in fractional coordinates, are Ba at (0.0000, 0.0000, 0.0000), Be at (0.0000, 0.0000, 0.5000), Be at (0.2500, 0.2500, 0.7500) and Ir at (0.2500, 0.2500, 0.2500).

The calculation puts the total DFT energy (no corrections) at -3.585 eV per atom.

---

No. 2
Material: Ba2BeIr
Method: DFT, PBE-GGA
State: optimized geometry

It has space group F-43m (No. 216), with a = 7.4000 Å, b = 7.4000 Å, c = 7.4000 Å, α = 90.00°, β = 90.00° and γ = 90.00°. The distinct sites, in fractional coordinates, are Ba at (0.0000, 0.0000, 0.0000), Ba at (0.2500, 0.2500, 0.2500), Be at (0.0000, 0.0000, 0.5000) and Ir at (0.2500, 0.2500, 0.7500).

The calculation puts the total DFT energy (no corrections) at -3.526 eV per atom.

---

No. 3
Material: BaBeIr
Method: DFT, PBE-GGA
State: optimized geometry

It has space group F-43m (No. 216), with a = 6.4769 Å, b = 6.4769 Å, c = 6.4769 Å, α = 90.00°, β = 90.00° and γ = 90.00°. The distinct sites, in fractional coordinates, are Ba at (0.0000, 0.0000, 0.0000), Be at (0.2500, 0.2500, 0.2500) and Ir at (0.0000, 0.0000, 0.5000).

As for the relative energy among the computed polymorphs: 0 meV per atom.

---

No. 4
Material: BaBeP2Ir
Method: DFT, PBE-GGA
State: optimized geometry

It has space group I-4m2 (No. 119), with a = 3.8965 Å, b = 3.8965 Å, c = 12.6682 Å, α = 90.00°, β = 90.00° and γ = 90.00°. The distinct sites, in fractional coordinates, are Ba at (0.0000, 0.0000, 0.0000), Be at (0.0000, 0.5000, 0.7500), P at (0.0000, 0.0000, 0.3508) and Ir at (0.0000, 0.5000, 0.2500).

The calculation puts the total DFT energy (no corrections) at -5.706 eV per atom.